A relaxed Tl3In3GaHg2 crystal, computed with PBE.

* energy of formation: 42.1 meV per atom
* spin magnetization: 0.000 μB/atom
* calculated density: 9.5 g/cm3
* space group: P-62m (189)
* crystal system: hexagonal
* calculated volume: 250.1 Å³ per cell
* Fermi-level density of states: 3.55 states/eV/cell

Cell lengths 3.659, 8.883, 8.883 Å; angles 120.00, 90.00, 90.00 degrees
Fractional positions:
Tl  0.500  0.726  0.000
Tl  0.500  0.000  0.726
Tl  0.500  0.274  0.274
In  0.000  0.622  0.622
In  0.000  0.000  0.378
In  0.000  0.378  0.000
Ga  0.000  0.000  0.000
Hg  0.500  0.667  0.333
Hg  0.500  0.333  0.667